Sc2TiCdC after structural relaxation, computed with PBE.

Cell: 4.554 4.554 4.265 Å, 90.00 90.00 90.00°
Space group P4/mmm (No. 123)
Unique sites:
Sc (0.000, 0.500, 0.000) [2 per cell]
Ti (0.000, 0.000, 0.500) [1 per cell]
Cd (0.500, 0.500, 0.500) [1 per cell]
C (0.000, 0.000, 0.000) [1 per cell]

The calculation puts the formation energy at -2.22 eV/f.u. As for the volume: 88.4 Å³/f.u.

PuHfCoTc after structural relaxation, computed with PBE.

Cell: 6.551 6.551 6.551 Å, 90.00 90.00 90.00°
Space group F-43m (No. 216)
Unique sites:
Pu (0.000, 0.000, 0.000) [4 per cell]
Hf (0.000, 0.000, 0.500) [4 per cell]
Co (0.250, 0.250, 0.250) [4 per cell]
Tc (0.250, 0.250, 0.750) [4 per cell]

The calculation puts the formation energy at -0.62 eV/f.u. As for the volume: 70.3 Å³/f.u.

GaCu3Pd12 after structural relaxation, computed with PBE.

Cell: 3.904 3.904 15.544 Å, 90.00 90.00 90.00°
Space group P4/mmm (No. 123)
Unique sites:
Ga (0.000, 0.000, 0.000) [1 per cell]
Cu (0.000, 0.000, 0.251) [2 per cell]
Cu (0.000, 0.000, 0.500) [1 per cell]
Pd (0.000, 0.500, 0.126) [4 per cell]
Pd (0.000, 0.500, 0.376) [4 per cell]
Pd (0.500, 0.500, 0.000) [1 per cell]
Pd (0.500, 0.500, 0.251) [2 per cell]
Pd (0.500, 0.500, 0.500) [1 per cell]

The calculation puts the formation energy at -2.37 eV/f.u. As for the volume: 236.9 Å³/f.u.

LaNd3Er2Tm6 after structural relaxation, computed with PBE.

Cell: 6.179 10.700 11.738 Å, 90.00 100.08 90.00°
Space group C2/m (No. 12)
Unique sites:
La (0.000, 0.000, 0.000) [2 per cell]
Nd (0.000, 0.167, 0.500) [4 per cell]
Nd (0.000, 0.500, 0.500) [2 per cell]
Er (0.000, 0.333, 0.000) [4 per cell]
Tm (0.249, 0.500, 0.249) [4 per cell]
Tm (0.250, 0.167, 0.249) [8 per cell]

The calculation puts the formation energy at 0.28 eV/f.u. As for the volume: 382.1 Å³/f.u.

ErThHgPb after structural relaxation, computed with PBE.

Cell: 7.654 7.654 7.654 Å, 90.00 90.00 90.00°
Space group F-43m (No. 216)
Unique sites:
Er (0.000, 0.000, 0.000) [4 per cell]
Th (0.000, 0.000, 0.500) [4 per cell]
Hg (0.250, 0.250, 0.750) [4 per cell]
Pb (0.250, 0.250, 0.250) [4 per cell]

The calculation puts the formation energy at -1.17 eV/f.u. As for the volume: 112.1 Å³/f.u.

What did the first record say?
Sc2TiCdC after structural relaxation, computed with PBE.

Cell: 4.554 4.554 4.265 Å, 90.00 90.00 90.00°
Space group P4/mmm (No. 123)
Unique sites:
Sc (0.000, 0.500, 0.000) [2 per cell]
Ti (0.000, 0.000, 0.500) [1 per cell]
Cd (0.500, 0.500, 0.500) [1 per cell]
C (0.000, 0.000, 0.000) [1 per cell]

The calculation puts the formation energy at -2.22 eV/f.u. As for the volume: 88.4 Å³/f.u.